Entry 1:
The following is a DFT calculation (PBE) of an optimized crystal structure of AlRh.

Lattice parameters (Å, degrees): 3.2117 3.2117 5.5774 90.00 90.00 90.00
Last column: nearest neighbours and their distance in Å.
Fractional positions:
Al: 0.2500 0.2500 0.1438  5 Rh 2.50-2.65, 4 Al 2.78
Al: 0.7500 0.7500 0.8562  5 Rh 2.50-2.65, 4 Al 2.78
Rh: 0.2500 0.2500 0.6681  5 Al 2.50-2.65
Rh: 0.7500 0.7500 0.3319  5 Al 2.50-2.65

Values from the calculation:
As for the symmetry: P4/nmm (129). The calculation puts the total DFT energy (no corrections) at -12.50 eV/f.u. As for the calculated formation energy: -0.70 eV per atom.


Entry 2:
The following is a DFT calculation (PBE) of an optimized crystal structure of Dy4CSe2.

Lattice parameters (Å, degrees): 8.1469 11.2285 3.8551 90.00 90.00 90.00
Last column: nearest neighbours and their distance in Å.
Fractional positions:
Dy: 0.0000 0.2204 0.0000  1 C 2.47
Dy: 0.0000 0.7796 0.0000  1 C 2.47
Dy: 0.2041 0.0000 0.5000  2 C 2.55, 2 Se 2.83
Dy: 0.2959 0.5000 0.5000  2 C 2.55, 2 Se 2.83
Dy: 0.5000 0.2796 0.0000  1 C 2.47
Dy: 0.5000 0.7204 0.0000  1 C 2.47
Dy: 0.7041 0.5000 0.5000  2 C 2.55, 2 Se 2.83
Dy: 0.7959 0.0000 0.5000  2 C 2.55, 2 Se 2.83
C: 0.0000 0.0000 0.0000  6 Dy 2.47-2.55
C: 0.5000 0.5000 0.0000  6 Dy 2.47-2.55
Se: 0.2500 0.2500 0.5000  6 Dy 2.82-2.83
Se: 0.2500 0.7500 0.5000  6 Dy 2.82-2.83
Se: 0.7500 0.2500 0.5000  6 Dy 2.82-2.83
Se: 0.7500 0.7500 0.5000  6 Dy 2.82-2.83

Values from the calculation:
The value obtained for the energy above the most stable polymorph in this dataset is 0 meV per atom. As for the symmetry: Cmmm (65). The calculation puts the total DFT energy (no corrections) at -42.39 eV/f.u. As for the formation energy without anion corrections: -1.112 eV per atom.


Entry 3:
The following is a DFT calculation (PBE) of an optimized crystal structure of Sr2ReTcN5.

Lattice parameters (Å, degrees): 8.0393 8.0393 10.2017 90.00 90.00 156.95
Last column: nearest neighbours and their distance in Å.
Fractional positions:
Sr: 0.1176 0.8824 0.5000  7 N 2.59-2.83
Sr: 0.1260 0.8740 0.8975  7 N 2.63-2.74
Sr: 0.8740 0.1260 0.3975  7 N 2.63-2.74
Sr: 0.8824 0.1176 0.0000  7 N 2.59-2.83
Re: 0.4325 0.5675 0.6855  3 N 1.80-1.95
Re: 0.5675 0.4325 0.1855  3 N 1.80-1.95
Tc: 0.2219 0.7781 0.2048  1 N 1.76
Tc: 0.7781 0.2219 0.7048  1 N 1.76
N: 0.0213 0.9787 0.2664  2 Re 1.95
N: 0.3187 0.6813 0.5823  1 Re 2.08, 2 Tc 2.13
N: 0.3215 0.6785 0.8246  2 Tc 2.13, 1 Re 2.25
N: 0.3333 0.6667 0.2003  1 Tc 1.76
N: 0.4855 0.5145 0.5297  1 Re 1.80
N: 0.5145 0.4855 0.0297  1 Re 1.80
N: 0.6667 0.3333 0.7003  1 Tc 1.76
N: 0.6785 0.3215 0.3246  2 Tc 2.13, 1 Re 2.25
N: 0.6813 0.3187 0.0823  1 Re 2.08, 2 Tc 2.13
N: 0.9787 0.0213 0.7664  2 Re 1.95

Values from the calculation:
As for the symmetry: Cmc2_1 (36). The calculation puts the total DFT energy (no corrections) at -71.33 eV/f.u. As for the formation energy without anion corrections: -0.392 eV per atom.


Entry 4:
The following is a DFT calculation (PBE) of an optimized crystal structure of RePN2O.

Lattice parameters (Å, degrees): 3.6599 3.6599 3.3025 90.00 90.00 90.00
Last column: nearest neighbours and their distance in Å.
Fractional positions:
Re: 0.0000 0.0000 0.0000  8 N 2.46, 4 O 2.59
P: 0.5000 0.5000 0.5000  2 O 1.65, 4 N 1.83
N: 0.0000 0.5000 0.5000  2 P 1.83
N: 0.5000 0.0000 0.5000  2 P 1.83
O: 0.5000 0.5000 0.0000  2 P 1.65

Values from the calculation:
As for the symmetry: P4/mmm (123). The calculation puts the total DFT energy (no corrections) at -35.02 eV/f.u. As for the formation energy without anion corrections: 0.890 eV per atom.


Number 1: ρ 7.50 g/cm³. Number 2: ρ 7.72 g/cm³. Number 3: ρ 6.81 g/cm³. Number 4: ρ 9.80 g/cm³.